A plane-wave DFT calculation with PBE was carried out for Sr2Cd9Ag3 after structural relaxation.

```
data_Sr2Cd9Ag3
_chemical_formula_sum 'Sr4 Cd18 Ag6'
_cell_length_a 8.558
_cell_length_b 8.558
_cell_length_c 10.433
_cell_angle_alpha 90.00
_cell_angle_beta 90.00
_cell_angle_gamma 61.59
_space_group_name_H-M_alt 'P 1'
_space_group_IT_number 1
loop_
_space_group_symop_operation_xyz
'x,y,z'
loop_
_atom_site_label
_atom_site_fract_x
_atom_site_fract_y
_atom_site_fract_z
Sr1 0.000 0.320 0.250
Sr2 0.000 0.680 0.750
Sr3 0.320 0.000 0.750
Sr4 0.680 0.000 0.250
Cd1 0.012 0.659 0.081
Cd2 0.012 0.659 0.419
Cd3 0.139 0.861 0.250
Cd4 0.337 0.663 0.548
Cd5 0.337 0.663 0.952
Cd6 0.341 0.988 0.081
Cd7 0.341 0.988 0.419
Cd8 0.351 0.439 0.250
Cd9 0.439 0.351 0.750
Cd10 0.561 0.649 0.250
Cd11 0.649 0.561 0.750
Cd12 0.659 0.012 0.581
Cd13 0.659 0.012 0.919
Cd14 0.663 0.337 0.048
Cd15 0.663 0.337 0.452
Cd16 0.861 0.139 0.750
Cd17 0.988 0.341 0.581
Cd18 0.988 0.341 0.919
Ag1 0.000 0.000 0.000
Ag2 0.000 0.000 0.500
Ag3 0.318 0.318 0.000
Ag4 0.318 0.318 0.500
Ag5 0.682 0.682 0.000
Ag6 0.682 0.682 0.500
```

Properties
* formation enthalpy at 0 K: -0.206 eV/atom
* space group: Cmcm

=====

A plane-wave DFT calculation with PBE was carried out for Ac2Ho5Er after structural relaxation.

```
data_Ac2Ho5Er
_chemical_formula_sum 'Ac2 Ho5 Er1'
_cell_length_a 9.238
_cell_length_b 9.238
_cell_length_c 9.238
_cell_angle_alpha 143.52
_cell_angle_beta 143.52
_cell_angle_gamma 52.55
_space_group_name_H-M_alt 'P 1'
_space_group_IT_number 1
loop_
_space_group_symop_operation_xyz
'x,y,z'
loop_
_atom_site_label
_atom_site_fract_x
_atom_site_fract_y
_atom_site_fract_z
Ac1 0.250 0.250 0.000
Ac2 0.750 0.750 0.000
Ho1 0.000 0.000 0.000
Ho2 0.110 0.610 0.500
Ho3 0.390 0.890 0.500
Ho4 0.610 0.110 0.500
Ho5 0.890 0.390 0.500
Er1 0.500 0.500 0.000
```

Properties
* formation enthalpy at 0 K: 0.110 eV/atom
* space group: I4/mmm

=====

A plane-wave DFT calculation with PBE was carried out for RbCe2CuS5 after structural relaxation.

```
data_RbCe2CuS5
_chemical_formula_sum 'Rb2 Ce4 Cu2 S10'
_cell_length_a 8.766
_cell_length_b 8.766
_cell_length_c 8.766
_cell_angle_alpha 127.29
_cell_angle_beta 127.29
_cell_angle_gamma 77.78
_space_group_name_H-M_alt 'P 1'
_space_group_IT_number 1
loop_
_space_group_symop_operation_xyz
'x,y,z'
loop_
_atom_site_label
_atom_site_fract_x
_atom_site_fract_y
_atom_site_fract_z
Rb1 0.250 0.250 0.000
Rb2 0.750 0.750 0.000
Ce1 0.166 0.666 0.832
Ce2 0.334 0.166 0.500
Ce3 0.666 0.834 0.500
Ce4 0.834 0.334 0.168
Cu1 0.250 0.750 0.500
Cu2 0.750 0.250 0.500
S1 0.000 0.000 0.000
S2 0.016 0.233 0.500
S3 0.233 0.733 0.217
S4 0.267 0.484 0.500
S5 0.484 0.984 0.217
S6 0.500 0.500 0.000
S7 0.516 0.016 0.783
S8 0.733 0.516 0.500
S9 0.767 0.267 0.783
S10 0.984 0.767 0.500
```

Properties
* uncorrected formation energy: -1465 meV/atom
* space group: I4/mcm

=====

A plane-wave DFT calculation with PBE was carried out for ZnIrO4 after structural relaxation.

```
data_ZnIrO4
_chemical_formula_sum 'Zn2 Ir2 O8'
_cell_length_a 5.281
_cell_length_b 4.484
_cell_length_c 5.586
_cell_angle_alpha 90.00
_cell_angle_beta 90.00
_cell_angle_gamma 90.00
_space_group_name_H-M_alt 'P 1'
_space_group_IT_number 1
loop_
_space_group_symop_operation_xyz
'x,y,z'
loop_
_atom_site_label
_atom_site_fract_x
_atom_site_fract_y
_atom_site_fract_z
Zn1 0.000 0.000 0.000
Zn2 0.000 0.500 0.500
Ir1 0.500 0.000 0.308
Ir2 0.500 0.500 0.808
O1 0.187 0.214 0.287
O2 0.187 0.286 0.787
O3 0.347 0.746 0.552
O4 0.347 0.754 0.052
O5 0.653 0.246 0.052
O6 0.653 0.254 0.552
O7 0.813 0.714 0.787
O8 0.813 0.786 0.287
```

Properties
* uncorrected formation energy: -813 meV/atom
* space group: Pnc2

=====

A plane-wave DFT calculation with PBE was carried out for Be3OsBr after structural relaxation.

```
data_Be3OsBr
_chemical_formula_sum 'Be3 Os1 Br1'
_cell_length_a 4.342
_cell_length_b 4.342
_cell_length_c 4.342
_cell_angle_alpha 90.00
_cell_angle_beta 90.00
_cell_angle_gamma 90.00
_space_group_name_H-M_alt 'P 1'
_space_group_IT_number 1
loop_
_space_group_symop_operation_xyz
'x,y,z'
loop_
_atom_site_label
_atom_site_fract_x
_atom_site_fract_y
_atom_site_fract_z
Be1 0.000 0.000 0.500
Be2 0.000 0.500 0.000
Be3 0.500 0.000 0.000
Os1 0.000 0.000 0.000
Br1 0.500 0.500 0.500
```

Properties
* uncorrected formation energy: 939 meV/atom
* space group: Pm-3m

=====

A plane-wave DFT calculation with PBE was carried out for Pm12SmHo6 after structural relaxation.

```
data_Pm12SmHo6
_chemical_formula_sum 'Pm12 Sm1 Ho6'
_cell_length_a 8.641
_cell_length_b 8.641
_cell_length_c 8.641
_cell_angle_alpha 88.90
_cell_angle_beta 88.90
_cell_angle_gamma 88.90
_space_group_name_H-M_alt 'P 1'
_space_group_IT_number 1
loop_
_space_group_symop_operation_xyz
'x,y,z'
loop_
_atom_site_label
_atom_site_fract_x
_atom_site_fract_y
_atom_site_fract_z
Pm1 0.017 0.197 0.362
Pm2 0.197 0.362 0.017
Pm3 0.220 0.463 0.567
Pm4 0.362 0.017 0.197
Pm5 0.433 0.780 0.537
Pm6 0.463 0.567 0.220
Pm7 0.537 0.433 0.780
Pm8 0.567 0.220 0.463
Pm9 0.638 0.983 0.803
Pm10 0.780 0.537 0.433
Pm11 0.803 0.638 0.983
Pm12 0.983 0.803 0.638
Sm1 0.000 0.000 0.000
Ho1 0.099 0.700 0.259
Ho2 0.259 0.099 0.700
Ho3 0.300 0.741 0.901
Ho4 0.700 0.259 0.099
Ho5 0.741 0.901 0.300
Ho6 0.901 0.300 0.741
```

Properties
* formation enthalpy at 0 K: 0.137 eV/atom
* space group: R-3